This record from Alexandria describes crystalline Ac6Hg2P at its relaxed geometry. The functional is PBE.

Cell and atoms, written as CIF:
```
data_Ac6Hg2P
_chemical_formula_sum 'Ac12 Hg4 P2'
_space_group_name_H-M_alt 'P 1 21/c 1'
_space_group_IT_number 14
_space_group_name_Hall '-P 2ybc'
_cell_length_a 7.316
_cell_length_b 8.290
_cell_length_c 13.235
_cell_angle_alpha 90.00
_cell_angle_beta 120.11
_cell_angle_gamma 90.00
loop_
_atom_site_label
_atom_site_fract_x
_atom_site_fract_y
_atom_site_fract_z
Ac1 0.107 0.031 0.251
Ac2 0.223 0.678 0.066
Ac3 0.390 0.198 0.060
Hg1 0.337 0.109 0.768
P1 0.000 0.000 0.000
```

Calculated values
energy relative to the elements = -0.474 eV per atom
spin magnetization = 0.000 μB per atom
Fermi-level density of states = 22.42 states/eV per cell

=====

This record from Alexandria describes crystalline Ba2LiRhO4 at its relaxed geometry. The functional is PBE.

Cell and atoms, written as CIF:
```
data_Ba2LiRhO4
_chemical_formula_sum 'Ba16 Li8 Rh8 O32'
_space_group_name_H-M_alt 'F d d d'
_space_group_IT_number 70
_cell_length_a 4.692
_cell_length_b 12.342
_cell_length_c 19.031
_cell_angle_alpha 90.00
_cell_angle_beta 90.00
_cell_angle_gamma 90.00
loop_
_space_group_symop_operation_xyz
'x,y,z'
'-x,-y,-z'
'-x+1/4,-y+1/4,z'
'x+1/4,y+1/4,-z'
'x,-y+1/4,-z+1/4'
'-x,y+1/4,z+1/4'
'-x+1/4,y,-z+1/4'
'x+1/4,-y,z+1/4'
'x,y+1/2,z+1/2'
'-x,-y+1/2,-z+1/2'
'-x+1/4,-y+3/4,z+1/2'
'x+1/4,y+3/4,-z+1/2'
'x,-y+3/4,-z+3/4'
'-x,y+3/4,z+3/4'
'-x+1/4,y+1/2,-z+3/4'
'x+1/4,-y+1/2,z+3/4'
'x+1/2,y,z+1/2'
'-x+1/2,-y,-z+1/2'
'-x+3/4,-y+1/4,z+1/2'
'x+3/4,y+1/4,-z+1/2'
'x+1/2,-y+1/4,-z+3/4'
'-x+1/2,y+1/4,z+3/4'
'-x+3/4,y,-z+3/4'
'x+3/4,-y,z+3/4'
'x+1/2,y+1/2,z'
'-x+1/2,-y+1/2,-z'
'-x+3/4,-y+3/4,z'
'x+3/4,y+3/4,-z'
'x+1/2,-y+3/4,-z+1/4'
'-x+1/2,y+3/4,z+1/4'
'-x+3/4,y+1/2,-z+1/4'
'x+3/4,-y+1/2,z+1/4'
loop_
_atom_site_label
_atom_site_fract_x
_atom_site_fract_y
_atom_site_fract_z
Ba1 0.125 0.125 0.300
Li1 0.125 0.125 0.625
Rh1 0.125 0.125 0.125
O1 0.091 0.255 0.418
```

Calculated values
formation energy from raw total energies = -13.13 eV per formula unit
spin magnetization = 0.000 μB per atom

=====

This record from Alexandria describes crystalline YZn2Ni at its relaxed geometry. The functional is PBE.

Cell and atoms, written as CIF:
```
data_YZn2Ni
_chemical_formula_sum 'Y1 Zn2 Ni1'
_space_group_name_H-M_alt 'P 1 2/m 1'
_space_group_IT_number 10
_space_group_name_Hall '-P 2y'
_cell_length_a 3.583
_cell_length_b 4.451
_cell_length_c 4.728
_cell_angle_alpha 90.00
_cell_angle_beta 104.05
_cell_angle_gamma 90.00
loop_
_atom_site_label
_atom_site_fract_x
_atom_site_fract_y
_atom_site_fract_z
Y1 0.000 0.000 0.000
Zn1 0.373 0.500 0.716
Ni1 0.500 0.000 0.500
```

Calculated values
energy relative to the elements = -0.196 eV per atom
spin magnetization = 0.000 μB per atom
Fermi-level density of states = 2.88 states/eV per cell

=====

This record from Alexandria describes crystalline LiNdTl at its relaxed geometry. The functional is PBE.

Cell and atoms, written as CIF:
```
data_LiNdTl
_chemical_formula_sum 'Li1 Nd1 Tl1'
_space_group_name_H-M_alt 'P 1 2/m 1'
_space_group_IT_number 10
_space_group_name_Hall '-P 2y'
_cell_length_a 3.729
_cell_length_b 5.611
_cell_length_c 4.064
_cell_angle_alpha 90.00
_cell_angle_beta 90.29
_cell_angle_gamma 90.00
loop_
_atom_site_label
_atom_site_fract_x
_atom_site_fract_y
_atom_site_fract_z
Li1 0.000 0.000 0.000
Nd1 0.000 0.500 0.500
Tl1 0.500 0.000 0.500
```

Calculated values
energy relative to the elements = -0.021 eV per atom
spin magnetization = 0.165 μB per atom
Fermi-level density of states = 2.23 states/eV per cell
energy relative to the lowest polymorph listed for this composition = 0.267 eV/atom